VASP calculation (PBE) on an optimized crystal structure of As2Cl.

Cell lengths 3.7218, 3.7218, 5.6858 Å; angles 90.00, 90.00, 120.00 degrees
Last column: nearest neighbours and their distance in Å.
Positions (direct):
As (0.3333, 0.6667, 0.1166)  3 As 2.52
As (0.6667, 0.3333, 0.8834)  3 As 2.52
Cl (0.0000, 0.0000, 0.5000)  6 As 3.06

Computed properties:
SG = P-3m1
DOS(E_F) = 1.9 states/eV/f.u.
Raw formation energy = -2.65 kcal/mol of atoms
Magnetic moment = 0.0 μB per cell
E above lowest polymorph = 156.1 meV per atom